Crystalline TbCo4Sn at its relaxed geometry. Source: Alexandria, functional GGA-PBE.

The value obtained for the formation energy is -0.13 eV/atom. The total energy comes out at -151.463 eV per cell. The value obtained for the total magnetization is 20.27 μB/cell. As for the volume: 355 Å³ per cell.

The structure belongs to space group F-43m (No. 216); the cell edges are 7.0799, 7.0799 and 7.0799 Å and the angles 90.00°, 90.00° and 90.00°. The inequivalent atoms are Tb at (0.0000, 0.0000, 0.0000), Co at (0.1246, 0.1246, 0.3754) and Sn at (0.2500, 0.2500, 0.7500).

---

Crystalline Ta2Be6W at its relaxed geometry. Source: Alexandria, functional GGA-PBE.

The value obtained for the formation energy is -0.18 eV/atom. The total energy comes out at -60.591 eV per cell. The value obtained for the total magnetization is 0.00 μB/cell. As for the volume: 99 Å³ per cell.

The structure belongs to space group P6/mmm (No. 191); the cell edges are 5.9877, 5.9877 and 3.1876 Å and the angles 90.00°, 90.00° and 120.00°. The inequivalent atoms are Ta at (0.3333, 0.6667, 0.0000), Be at (0.0000, 0.3295, 0.5000) and W at (0.0000, 0.0000, 0.0000).